The following is a DFT calculation (PBE) of CsRbLaZnS after structural relaxation.

Cell: 4.642 10.159 10.159 Å, 26.92 90.00 90.00°
Fractional coordinates of all 5 atoms:
Cs (0.000, 0.000, 0.000)
Rb (0.500, 0.648, 0.648)
La (0.500, 0.336, 0.336)
Zn (0.000, 0.796, 0.796)
S (0.500, 0.468, 0.468)

The volume comes out at 217 Å³/f.u. The value obtained for the polymorph energy (0 for the lowest one) is 0.1325 eV per atom. As for the space group: Amm2, No. 38. Its formation energy (no corrections) is -2.50 eV/f.u.